No. 1
The following is a DFT calculation (PBE-GGA) of a geometry-optimized Ac5TcN8 structure.

```
Ac5TcN8
1.0
0.158 -2.394 -7.027
-0.611 -5.959 4.388
-5.757 4.458 1.457
Ac Tc N
5 1 8
direct
0.070 0.441 0.123
0.877 0.947 0.318
0.682 0.559 0.629
0.500 0.000 0.500
0.371 0.053 0.930
0.250 0.500 0.750
0.101 0.645 0.809
0.191 0.292 0.836
0.557 0.209 0.322
0.678 0.235 0.887
0.653 0.765 0.443
0.543 0.708 0.899
0.164 0.355 0.457
0.113 0.791 0.347
```

Summary:
magnetization = 0.146 μB per atom



No. 2
The following is a DFT calculation (PBE-GGA) of a geometry-optimized AcThTcN4 structure.

```
AcThTcN4
1.0
-3.357 1.492 -1.361
-2.011 -2.705 1.997
2.381 4.673 4.886
Ac Th Tc N
1 1 1 4
direct
0.647 0.647 0.295
0.355 0.355 0.711
0.994 0.994 0.989
0.993 0.493 0.987
0.493 0.993 0.987
0.835 0.835 0.669
0.182 0.182 0.363
```

Summary:
magnetization = 0.000 μB per atom



No. 3
The following is a DFT calculation (PBE-GGA) of a geometry-optimized Ac2ThTcN5 structure.

```
Ac2ThTcN5
1.0
6.972 0.000 0.000
0.000 6.972 0.000
-3.486 -3.486 5.972
Ac Th Tc N
4 2 2 10
direct
0.172 0.328 0.000
0.672 0.172 0.000
0.328 0.828 0.000
0.828 0.672 0.000
0.250 0.250 0.500
0.750 0.750 0.500
0.250 0.750 0.500
0.750 0.250 0.500
0.003 0.503 0.310
0.694 0.194 0.690
0.997 0.497 0.690
0.194 0.997 0.690
0.497 0.694 0.690
0.806 0.003 0.310
0.503 0.306 0.310
0.306 0.806 0.310
0.500 0.500 0.000
0.000 0.000 0.000
```

Summary:
magnetization = 0.001 μB per atom



No. 4
The following is a DFT calculation (PBE-GGA) of a geometry-optimized Ac2ThTc2N6 structure.

```
Ac2ThTc2N6
1.0
-5.359 -1.929 -1.611
-1.966 -5.237 1.936
-4.943 0.395 5.097
Ac Th Tc N
2 1 2 6
direct
0.788 0.788 0.637
0.212 0.212 0.363
0.000 0.000 0.000
0.402 0.402 0.793
0.598 0.598 0.207
0.743 0.743 0.284
0.230 0.743 0.284
0.743 0.230 0.284
0.257 0.770 0.716
0.770 0.257 0.716
0.257 0.257 0.716
```

Summary:
magnetization = 0.000 μB per atom



No. 5
The following is a DFT calculation (PBE-GGA) of a geometry-optimized AcTh2TcN5 structure.

```
AcTh2TcN5
1.0
5.920 0.000 0.000
0.000 6.902 0.000
0.000 0.000 6.902
Ac Th Tc N
2 4 2 10
direct
0.000 0.500 0.500
0.000 0.000 0.000
0.500 0.673 0.173
0.500 0.173 0.327
0.500 0.827 0.673
0.500 0.327 0.827
0.000 0.000 0.500
0.000 0.500 0.000
0.500 0.500 0.500
0.500 0.000 0.000
0.237 0.141 0.641
0.237 0.859 0.359
0.237 0.359 0.141
0.237 0.641 0.859
0.763 0.141 0.641
0.763 0.641 0.859
0.763 0.859 0.359
0.763 0.359 0.141
```

Summary:
magnetization = 0.000 μB per atom



No. 6
The following is a DFT calculation (PBE-GGA) of a geometry-optimized Ac2TiTc2N6 structure.

```
Ac2TiTc2N6
1.0
5.989 0.000 0.000
2.994 5.186 0.000
2.994 1.729 5.435
Ac Ti Tc N
2 1 2 6
direct
0.782 0.782 0.653
0.218 0.218 0.347
0.000 0.000 0.000
0.431 0.431 0.707
0.569 0.569 0.293
0.766 0.766 0.234
0.234 0.766 0.234
0.766 0.234 0.234
0.234 0.766 0.766
0.766 0.234 0.766
0.234 0.234 0.766
```

Summary:
magnetization = 0.000 μB per atom



No. 7
The following is a DFT calculation (PBE-GGA) of a geometry-optimized Ac2TlTc2N6 structure.

```
Ac2TlTc2N6
1.0
7.024 -0.452 0.218
3.143 5.450 -0.005
0.431 -3.273 5.916
Ac Tl Tc N
2 1 2 6
direct
0.819 0.403 0.781
0.181 0.597 0.219
0.500 0.000 0.500
0.175 0.789 0.825
0.825 0.211 0.175
0.387 0.755 0.951
0.883 0.476 0.217
0.170 0.885 0.602
0.117 0.524 0.783
0.830 0.115 0.398
0.613 0.245 0.049
```

Summary:
magnetization = 0.000 μB per atom



No. 8
The following is a DFT calculation (PBE-GGA) of a geometry-optimized AcTm2TcN4 structure.

```
AcTm2TcN4
1.0
-2.043 -1.007 -2.664
-0.516 -4.347 4.345
-8.959 5.755 4.695
Ac Tm Tc N
2 4 2 8
direct
0.105 0.210 0.750
0.895 0.790 0.250
0.368 0.737 0.541
0.632 0.263 0.041
0.632 0.263 0.459
0.368 0.737 0.959
0.844 0.689 0.750
0.156 0.311 0.250
0.260 0.520 0.117
0.740 0.480 0.617
0.740 0.480 0.883
0.260 0.520 0.383
0.000 0.000 0.500
0.000 0.000 0.000
0.426 0.852 0.750
0.574 0.148 0.250
```

Summary:
magnetization = 0.000 μB per atom



No. 9
The following is a DFT calculation (PBE-GGA) of a geometry-optimized Ac3TmTc2N6 structure.

```
Ac3TmTc2N6
1.0
-3.719 -0.474 4.730
5.941 -0.759 0.744
0.707 6.738 1.231
Ac Tm Tc N
3 1 2 6
direct
0.333 0.667 0.678
0.667 0.333 0.322
0.000 0.000 0.000
0.000 0.000 0.500
0.667 0.333 0.807
0.333 0.667 0.193
0.660 0.830 0.295
0.170 0.340 0.295
0.170 0.830 0.295
0.830 0.660 0.705
0.340 0.170 0.705
0.830 0.170 0.705
```

Summary:
magnetization = 0.000 μB per atom



No. 10
The following is a DFT calculation (PBE-GGA) of a geometry-optimized Ac2TmTc2N6 structure.

```
Ac2TmTc2N6
1.0
5.850 0.000 0.000
2.925 5.066 0.000
2.925 1.689 6.122
Ac Tm Tc N
2 1 2 6
direct
0.788 0.788 0.635
0.212 0.212 0.365
0.000 0.000 0.000
0.399 0.399 0.804
0.601 0.601 0.196
0.745 0.745 0.278
0.232 0.745 0.278
0.745 0.232 0.278
0.255 0.768 0.722
0.768 0.255 0.722
0.255 0.255 0.722
```

Summary:
magnetization = 0.000 μB per atom



No. 11
The following is a DFT calculation (PBE-GGA) of a geometry-optimized Ac2UTc2N6 structure.

```
Ac2UTc2N6
1.0
-1.967 -3.650 4.079
1.120 -5.693 -0.407
4.831 -2.334 4.388
Ac U Tc N
2 1 2 6
direct
0.788 0.788 0.636
0.212 0.212 0.364
0.000 0.000 0.000
0.393 0.393 0.820
0.607 0.607 0.180
0.753 0.753 0.267
0.227 0.753 0.267
0.753 0.227 0.267
0.247 0.773 0.733
0.773 0.247 0.733
0.247 0.247 0.733
```

Summary:
magnetization = 0.000 μB per atom



No. 12
The following is a DFT calculation (PBE-GGA) of a geometry-optimized Ac2YTc2N6 structure.

```
Ac2YTc2N6
1.0
5.866 0.000 0.000
2.933 5.080 0.000
2.933 1.693 6.181
Ac Y Tc N
2 1 2 6
direct
0.788 0.788 0.635
0.212 0.212 0.365
0.000 0.000 0.000
0.400 0.400 0.800
0.600 0.600 0.200
0.743 0.743 0.282
0.232 0.743 0.282
0.743 0.232 0.282
0.257 0.768 0.718
0.768 0.257 0.718
0.257 0.257 0.718
```

Summary:
magnetization = 0.000 μB per atom



Number 1: formation energy without anion corrections -0.580 eV per atom, DFT total energy -0.55456 Ry per atom. Number 2: formation energy without anion corrections -0.965 eV per atom, DFT total energy -0.65044 Ry per atom. Number 3: formation energy without anion corrections -0.814 eV per atom, DFT total energy -0.61216 Ry per atom. Number 4: formation energy without anion corrections -0.743 eV per atom, DFT total energy -0.63139 Ry per atom. Number 5: formation energy without anion corrections -1.062 eV per atom, DFT total energy -0.65738 Ry per atom. Number 6: formation energy without anion corrections -0.671 eV per atom, DFT total energy -0.62928 Ry per atom. Number 7: formation energy without anion corrections -0.348 eV per atom, DFT total energy -0.56857 Ry per atom. Number 8: formation energy without anion corrections -1.101 eV per atom, DFT total energy -0.60204 Ry per atom. Number 9: formation energy without anion corrections -0.818 eV per atom, DFT total energy -0.59593 Ry per atom. Number 10: formation energy without anion corrections -0.715 eV per atom, DFT total energy -0.60966 Ry per atom. Number 11: formation energy without anion corrections -0.718 eV per atom, DFT total energy -0.65537 Ry per atom. Number 12: formation energy without anion corrections -0.706 eV per atom, DFT total energy -0.62224 Ry per atom.